Record 1
Material: Sc4SbPt
Method: DFT, PBE-GGA
State: optimized geometry

Properties
Uncorrected formation energy, meV/atom: -22
Theoretical density, g/cm³: 6.4
Space-group type: F-43m, No. 216

Geometry as CIF:
```
data_Sc4SbPt
_chemical_formula_sum 'Sc4 Sb1 Pt1'
_symmetry_space_group_name_H-M 'P 1'
_symmetry_Int_Tables_number 1
_cell_length_a 5.666
_cell_length_b 5.666
_cell_length_c 5.666
_cell_angle_alpha 60.00
_cell_angle_beta 60.00
_cell_angle_gamma 60.00
loop_
_symmetry_equiv_pos_as_xyz
'x,y,z'
loop_
_atom_site_label
_atom_site_fract_x
_atom_site_fract_y
_atom_site_fract_z
Sc1 0.125 0.125 0.125
Sc2 0.125 0.125 0.625
Sc3 0.125 0.625 0.125
Sc4 0.625 0.125 0.125
Sb1 0.500 0.500 0.500
Pt1 0.750 0.750 0.750
```

***

Record 2
Material: ScSbPt2
Method: DFT, PBE-GGA
State: optimized geometry

Properties
Uncorrected formation energy, meV/atom: -742
Theoretical density, g/cm³: 12.7
Space-group type: I-4m2, No. 119

Geometry as CIF:
```
data_ScSbPt2
_chemical_formula_sum 'Sc2 Sb2 Pt4'
_symmetry_space_group_name_H-M 'P 1'
_symmetry_Int_Tables_number 1
_cell_length_a 4.137
_cell_length_b 4.137
_cell_length_c 8.534
_cell_angle_alpha 90.00
_cell_angle_beta 90.00
_cell_angle_gamma 90.00
loop_
_symmetry_equiv_pos_as_xyz
'x,y,z'
loop_
_atom_site_label
_atom_site_fract_x
_atom_site_fract_y
_atom_site_fract_z
Sc1 0.000 0.000 0.000
Sc2 0.500 0.500 0.500
Sb1 0.000 0.500 0.250
Sb2 0.500 0.000 0.750
Pt1 0.000 0.000 0.500
Pt2 0.000 0.500 0.750
Pt3 0.500 0.000 0.250
Pt4 0.500 0.500 0.000
```

***

Record 3
Material: ScSbPt4
Method: DFT, PBE-GGA
State: optimized geometry

Properties
Uncorrected formation energy, meV/atom: -548
Theoretical density, g/cm³: 14.4
Space-group type: F-43m, No. 216

Geometry as CIF:
```
data_ScSbPt4
_chemical_formula_sum 'Sc1 Sb1 Pt4'
_symmetry_space_group_name_H-M 'P 1'
_symmetry_Int_Tables_number 1
_cell_length_a 5.360
_cell_length_b 5.360
_cell_length_c 5.360
_cell_angle_alpha 60.00
_cell_angle_beta 60.00
_cell_angle_gamma 60.00
loop_
_symmetry_equiv_pos_as_xyz
'x,y,z'
loop_
_atom_site_label
_atom_site_fract_x
_atom_site_fract_y
_atom_site_fract_z
Sc1 0.000 0.000 0.000
Sb1 0.250 0.250 0.250
Pt1 0.124 0.625 0.625
Pt2 0.625 0.124 0.625
Pt3 0.625 0.625 0.124
Pt4 0.625 0.625 0.625
```

***

> Look up the uncorrected formation energy of the first one.

-22 meV/atom

***

Please write out number 3 again, unchanged.
Material: ScSbPt4
Method: DFT, PBE-GGA
State: optimized geometry

Properties
Uncorrected formation energy, meV/atom: -548
Theoretical density, g/cm³: 14.4
Space-group type: F-43m, No. 216

Geometry as CIF:
```
data_ScSbPt4
_chemical_formula_sum 'Sc1 Sb1 Pt4'
_symmetry_space_group_name_H-M 'P 1'
_symmetry_Int_Tables_number 1
_cell_length_a 5.360
_cell_length_b 5.360
_cell_length_c 5.360
_cell_angle_alpha 60.00
_cell_angle_beta 60.00
_cell_angle_gamma 60.00
loop_
_symmetry_equiv_pos_as_xyz
'x,y,z'
loop_
_atom_site_label
_atom_site_fract_x
_atom_site_fract_y
_atom_site_fract_z
Sc1 0.000 0.000 0.000
Sb1 0.250 0.250 0.250
Pt1 0.124 0.625 0.625
Pt2 0.625 0.124 0.625
Pt3 0.625 0.625 0.124
Pt4 0.625 0.625 0.625
```

***

> Look up the theoretical density of the second one.

12.7 g/cm³

***

> What is the uncorrected formation energy in the first record?

-22 meV/atom